Entry 1:
Compound: PaHS
Source: Alexandria via LeMat-Bulk
Functional: PBE
Structure: relaxed

The space group is P4/nmm (No. 129, origin choice 2) and the conventional cell measures 3.9362, 3.9362 and 5.8460 Å, with angles of 90.00, 90.00 and 90.00 degrees. The distinct sites, in fractional coordinates, are Pa at (0.2500, 0.2500, 0.2065), H at (0.2500, 0.7500, 0.0000) and S at (0.2500, 0.2500, 0.6888).

The final energy is -6.7722 eV per atom.

Entry 2:
Compound: CuAu
Source: Alexandria via LeMat-Bulk
Functional: PBE
Structure: relaxed

The space group is I4/mmm (No. 139) and the conventional cell measures 8.5134, 8.5134 and 3.5627 Å, with angles of 90.00, 90.00 and 90.00 degrees. The distinct sites, in fractional coordinates, are Cu at (0.0000, 0.3457, 0.0000) and Au at (0.1606, 0.1606, 0.5000).

The final energy is -3.6324 eV per atom. The value obtained for the formation energy is 0.054 eV per atom.

Entry 3:
Compound: CrCdAg2
Source: Alexandria via LeMat-Bulk
Functional: PBE
Structure: relaxed

The space group is P4mm (No. 99) and the conventional cell measures 3.1257, 3.1257 and 7.4953 Å, with angles of 90.00, 90.00 and 90.00 degrees. The distinct sites, in fractional coordinates, are Cr at (0.0000, 0.0000, 0.0000), Cd at (0.5000, 0.5000, 0.7458), Ag at (0.0000, 0.0000, 0.4828) and Ag at (0.5000, 0.5000, 0.2335).

The final energy is -3.7912 eV per atom. The value obtained for the formation energy is 0.269 eV per atom.

Entry 4:
Compound: CdIr2F
Source: Alexandria via LeMat-Bulk
Functional: PBE
Structure: relaxed

The space group is I-42d (No. 122) and the conventional cell measures 3.5246, 3.5246 and 21.9775 Å, with angles of 90.00, 90.00 and 90.00 degrees. The distinct sites, in fractional coordinates, are Cd at (0.0000, 0.0000, 0.0000), Ir at (0.2480, 0.2500, 0.6250) and F at (0.0000, 0.0000, 0.5000).

The calculation puts the formation energy (no corrections) at 0.033 eV/atom. The final energy is -5.0942 eV per atom.

Entry 5:
Compound: Ta2MoPt
Source: Alexandria via LeMat-Bulk
Functional: PBE
Structure: relaxed

The space group is P4/mmm (No. 123) and the conventional cell measures 4.4277, 4.4277 and 3.4391 Å, with angles of 90.00, 90.00 and 90.00 degrees. The distinct sites, in fractional coordinates, are Ta at (0.0000, 0.5000, 0.0000), Mo at (0.0000, 0.0000, 0.5000) and Pt at (0.5000, 0.5000, 0.5000).

The final energy is -10.5034 eV per atom. The value obtained for the formation energy is -0.359 eV per atom.

Entry 6:
Compound: LaZr2Te
Source: Alexandria via LeMat-Bulk
Functional: PBE
Structure: relaxed

The space group is C2/m (No. 12) and the conventional cell measures 6.4300, 10.6398 and 3.7699 Å, with angles of 90.00, 125.35 and 90.00 degrees. The distinct sites, in fractional coordinates, are La at (0.0000, 0.0000, 0.0000), Zr at (0.2500, 0.2500, 0.5000) and Te at (0.0000, 0.5000, 0.0000).

The calculation puts the formation energy (no corrections) at -0.244 eV/atom. The final energy is -6.5356 eV per atom.

Look up the final energy of the first one.
-6.7722 eV per atom

Repeat the second record exactly.
Compound: CuAu
Source: Alexandria via LeMat-Bulk
Functional: PBE
Structure: relaxed

The space group is I4/mmm (No. 139) and the conventional cell measures 8.5134, 8.5134 and 3.5627 Å, with angles of 90.00, 90.00 and 90.00 degrees. The distinct sites, in fractional coordinates, are Cu at (0.0000, 0.3457, 0.0000) and Au at (0.1606, 0.1606, 0.5000).

The final energy is -3.6324 eV per atom. The value obtained for the formation energy is 0.054 eV per atom.

Which of these has the lowest final energy?
Ta2MoPt